# 1
Material: Pr2ErTm
Method: DFT, PBE-GGA
State: relaxed

Cell: 5.596 3.562 6.929 Å, 104.99 90.00 90.00°
Fractional positions:
1 Pr 0.061 0.043 0.119
2 Pr 0.561 0.658 0.347
3 Er 0.561 0.396 0.820
4 Tm 0.061 0.788 0.603

energy of formation = 0.06 eV per atom
calculated total energy = -4.59 eV per atom


# 2
Material: Ac4Ni2Pb5
Method: DFT, PBE-GGA
State: relaxed

Cell: 4.685 7.881 9.394 Å, 90.43 90.00 90.00°
Fractional positions:
1 Ac 0.500 0.767 0.595
2 Ac 0.500 0.211 0.859
3 Ac 0.500 0.233 0.405
4 Ac 0.500 0.789 0.141
5 Ni 0.000 0.069 0.613
6 Ni 0.000 0.931 0.387
7 Pb 0.000 0.584 0.347
8 Pb 0.000 0.121 0.141
9 Pb 0.000 0.500 0.000
10 Pb 0.000 0.879 0.859
11 Pb 0.000 0.416 0.653

energy of formation = -0.39 eV per atom
calculated total energy = -4.62 eV per atom


# 3
Material: HgMoRu2N
Method: DFT, PBE-GGA
State: relaxed

Cell: 4.630 5.466 4.630 Å, 90.00 90.00 90.00°
Site moments in Bohr magnetons follow the coordinates.
Fractional positions:
1 Ru 0.000 0.000 0.500  0.72
2 Ru 0.500 0.000 0.000  0.43
3 Mo 0.000 0.000 0.000  -0.13
4 Hg 0.000 0.500 0.000  0.03
5 N 0.500 0.500 0.500  1.62

formation energy from raw total energies = 2.45 eV per atom
calculated total energy = -5.15 eV per atom


# 4
Material: Sr3La3SmSe8
Method: DFT, PBE-GGA
State: relaxed

Cell: 8.657 8.657 8.773 Å, 119.58 90.00 120.00°
Fractional positions:
1 Sr 0.000 0.000 0.000
2 Sr 0.000 0.500 0.000
3 Sr 0.500 0.500 0.000
4 La 0.500 0.000 0.500
5 La 0.500 0.500 0.500
6 La 0.000 0.500 0.500
7 Sm 0.000 0.000 0.500
8 Se 0.252 0.503 0.255
9 Se 0.748 0.497 0.745
10 Se 0.759 0.518 0.265
11 Se 0.241 0.482 0.735
12 Se 0.759 0.007 0.266
13 Se 0.241 0.993 0.734
14 Se 0.247 0.007 0.266
15 Se 0.753 0.993 0.734

formation energy from raw total energies = -1.99 eV per atom
calculated total energy = -5.49 eV per atom